[1]
PBE-GGA LaCeGdLu, relaxed; D(E_F) = 60.62 states/eV/cell; spin magnetization = 6.20 μB/f.u.; volume = 32.94 Å³ per atom; energy of formation from the pure elements = 208 meV/atom
1.0
8.077 0.000 0.000
0.000 8.077 0.000
0.000 0.000 8.077
La Ce Gd Lu
4 4 4 4
Direct
0.000 0.000 0.000
0.000 0.500 0.500
0.500 0.000 0.500
0.500 0.500 0.000
0.250 0.250 0.250
0.250 0.750 0.750
0.750 0.250 0.750
0.750 0.750 0.250
0.000 0.000 0.500
0.000 0.500 0.000
0.500 0.000 0.000
0.500 0.500 0.500
0.250 0.250 0.750
0.250 0.750 0.250
0.750 0.250 0.250
0.750 0.750 0.750

[2]
PBE-GGA LaCeGdMg, relaxed; D(E_F) = 35.52 states/eV/cell; spin magnetization = 10.53 μB/f.u.; volume = 30.56 Å³ per atom; energy of formation from the pure elements = 115 meV/atom
1.0
7.879 0.000 0.000
0.000 7.879 0.000
0.000 0.000 7.879
La Ce Gd Mg
4 4 4 4
Direct
0.000 0.000 0.000
0.000 0.500 0.500
0.500 0.000 0.500
0.500 0.500 0.000
0.250 0.250 0.750
0.250 0.750 0.250
0.750 0.250 0.250
0.750 0.750 0.750
0.000 0.000 0.500
0.000 0.500 0.000
0.500 0.000 0.000
0.500 0.500 0.500
0.250 0.250 0.250
0.250 0.750 0.750
0.750 0.250 0.750
0.750 0.750 0.250

[3]
PBE-GGA LaCePmGd, relaxed; D(E_F) = 37.78 states/eV/cell; spin magnetization = 10.39 μB/f.u.; volume = 34.25 Å³ per atom; energy of formation from the pure elements = 174 meV/atom
1.0
8.183 0.000 0.000
0.000 8.183 0.000
0.000 0.000 8.183
La Ce Pm Gd
4 4 4 4
Direct
0.000 0.000 0.000
0.000 0.500 0.500
0.500 0.000 0.500
0.500 0.500 0.000
0.250 0.250 0.750
0.250 0.750 0.250
0.750 0.250 0.250
0.750 0.750 0.750
0.000 0.000 0.500
0.000 0.500 0.000
0.500 0.000 0.000
0.500 0.500 0.500
0.250 0.250 0.250
0.250 0.750 0.750
0.750 0.250 0.750
0.750 0.750 0.250